V2ReSiW | GGA-PBE | relaxed

The calculated total energy is -41.4 eV per cell. As for the formation energy without anion corrections: 1524 meV per atom.

The space group is P4/mmm (No. 123) and the conventional cell measures 4.552, 4.552 and 4.443 Å, with angles of 90.00, 90.00 and 90.00 degrees. The inequivalent atoms are V at (0.000, 0.500, 0.000), Re at (0.000, 0.000, 0.000), Si at (0.000, 0.000, 0.500) and W at (0.500, 0.500, 0.500).

Pr2DyTl4 | GGA-PBE | relaxed

The calculated total energy is -45.7 eV per cell. The calculation puts the formation enthalpy at 0 K at 112.0 meV/atom. As for the energy relative to the lowest polymorph listed for this composition: 354 meV/atom.

The space group is I4/mmm (No. 139) and the conventional cell measures 5.803, 5.803 and 15.972 Å, with angles of 90.00, 90.00 and 90.00 degrees. The inequivalent atoms are Pr at (0.000, 0.000, 0.105), Dy at (0.000, 0.000, 0.500), Tl at (0.000, 0.000, 0.308) and Tl at (0.000, 0.500, 0.000).

TmHfCd | GGA-PBE | relaxed

The calculated total energy is -15.0 eV per cell. The calculation puts the formation enthalpy at 0 K at 115.9 meV/atom. As for the energy relative to the lowest polymorph listed for this composition: 216 meV/atom.

The space group is P3m1 (No. 156) and the conventional cell measures 5.0876, 5.0876 and 3.2808 Å, with angles of 90.00, 90.00 and 120.00 degrees. The inequivalent atoms are Tm at (0.0000, 0.0000, 0.0000), Hf at (0.6667, 0.3333, 0.5055) and Cd at (0.3333, 0.6667, 0.4840).

Dy4NiI5 | GGA-PBE | relaxed

The calculated total energy is -85.0 eV per cell. As for the formation energy without anion corrections: -1054 meV per atom.

The space group is C2/m (No. 12) and the conventional cell measures 19.376, 4.075 and 8.861 Å, with angles of 90.00, 102.56 and 90.00 degrees. The inequivalent atoms are Dy at (0.000, 0.000, 0.199), Dy at (0.140, 0.500, 0.072), Ni at (0.000, 0.500, 0.000), I at (0.000, 0.500, 0.500), I at (0.168, 0.000, 0.344) and I at (0.177, 0.000, 0.829).

Pm3PrNd2Ho6 | GGA-PBE | relaxed

The calculated total energy is -111.8 eV per cell. The calculation puts the formation enthalpy at 0 K at 12.6 meV/atom.

The space group is C2/m (No. 12) and the conventional cell measures 6.249, 10.821 and 11.813 Å, with angles of 90.00, 100.12 and 90.00 degrees. The inequivalent atoms are Pm at (0.000, 0.000, 0.000), Pm at (0.000, 0.333, 0.000), Pr at (0.000, 0.500, 0.500), Nd at (0.000, 0.167, 0.500), Ho at (0.249, 0.167, 0.249) and Ho at (0.250, 0.000, 0.751).

Rb3SnBi3Te8 | GGA-PBE | relaxed

The calculated total energy is -153.7 eV per cell. As for the formation energy without anion corrections: -503 meV per atom.

The space group is R-3m (No. 166, hexagonal axes) and the conventional cell measures 9.0069, 9.0069 and 26.6722 Å, with angles of 90.00, 90.00 and 120.00 degrees. The inequivalent atoms are Rb at (0.0000, 0.5000, 0.0000), Sn at (0.0000, 0.0000, 0.5000), Bi at (0.0000, 0.5000, 0.5000), Te at (0.0000, 0.0000, 0.2343) and Te at (0.0174, 0.5087, 0.2313).

Question: Among the records above, which one has the highest calculated total energy?
Answer: TmHfCd

Question: Among the records above, which one has the lowest calculated total energy?
Answer: Rb3SnBi3Te8

Question: What is the calculated total energy in the first record?
Answer: -41.4 eV per cell

Question: Among the records above, which one has the lowest calculated total energy?
Answer: Rb3SnBi3Te8